First-principles (PBE) data for an optimized crystal structure of CsOF3, as listed in the Alexandria database.

a b c (Å): 4.963 6.037 8.148
angles (deg): 90.00 123.80 90.00
Element x y z (fractional)
Cs1 0.028 0.250 0.310
Cs2 0.972 0.750 0.690
O1 0.669 0.250 0.767
O2 0.331 0.750 0.233
F1 0.619 0.462 0.859
F2 0.381 0.538 0.141
F3 0.619 0.038 0.859
F4 0.381 0.962 0.141
F5 0.772 0.250 0.574
F6 0.228 0.750 0.426

Output
Crystal system: monoclinic
Formation energy from raw total energies: -5.33 eV/f.u.
Space-group type: No. 11

***

First-principles (PBE) data for an optimized crystal structure of HfNb2B2, as listed in the Alexandria database.

a b c (Å): 6.318 6.318 3.343
angles (deg): 90.00 90.00 90.00
Element x y z (fractional)
Nb1 0.175 0.675 0.500
Nb2 0.675 0.825 0.500
Nb3 0.825 0.325 0.500
Nb4 0.325 0.175 0.500
B1 0.398 0.898 0.000
B2 0.898 0.602 0.000
B3 0.602 0.102 0.000
B4 0.102 0.398 0.000
Hf1 0.000 0.000 0.000
Hf2 0.500 0.500 0.000

Output
Crystal system: tetragonal
Space-group type: No. 127
Energy relative to the elements: -0.56 eV per atom

***

First-principles (PBE) data for an optimized crystal structure of AcMo2H7, as listed in the Alexandria database.

a b c (Å): 3.874 5.501 5.390
angles (deg): 120.68 90.00 90.00
Element x y z (fractional)
Ac1 0.000 0.000 0.000
Mo1 0.500 0.302 0.604
Mo2 0.500 0.698 0.396
H1 0.000 0.296 0.592
H2 0.000 0.704 0.408
H3 0.500 0.316 0.274
H4 0.500 0.684 0.726
H5 0.500 0.042 0.726
H6 0.500 0.958 0.274
H7 0.500 0.500 0.000

Output
Crystal system: orthorhombic
Space-group type: No. 65

***

First-principles (PBE) data for an optimized crystal structure of CaZrNi2Te, as listed in the Alexandria database.

a b c (Å): 4.502 5.636 4.502
angles (deg): 90.00 90.00 90.00
Element x y z (fractional)
Ni1 0.000 0.000 0.500
Ni2 0.500 0.000 0.000
Ca1 0.000 0.000 0.000
Te1 0.500 0.500 0.500
Zr1 0.000 0.500 0.000

Output
Crystal system: tetragonal
Formation energy from raw total energies: 5.97 eV/f.u.
Space-group type: No. 123

***

First-principles (PBE) data for an optimized crystal structure of Ce2NdSn9, as listed in the Alexandria database.

a b c (Å): 4.735 4.735 14.217
angles (deg): 90.00 90.00 90.00
Element x y z (fractional)
Ce1 0.000 0.000 0.336
Ce2 0.000 0.000 0.664
Nd1 0.000 0.000 0.000
Sn1 0.500 0.500 0.000
Sn2 0.500 0.500 0.335
Sn3 0.500 0.500 0.665
Sn4 0.500 0.000 0.170
Sn5 0.500 0.000 0.500
Sn6 0.500 0.000 0.830
Sn7 0.000 0.500 0.170
Sn8 0.000 0.500 0.500
Sn9 0.000 0.500 0.830

Output
Crystal system: tetragonal
Space-group type: No. 123
Energy relative to the elements: -0.52 eV per atom

***

First-principles (PBE) data for an optimized crystal structure of SrScZnSn, as listed in the Alexandria database.

a b c (Å): 5.261 5.261 5.261
angles (deg): 60.00 60.00 60.00
Element x y z (fractional)
Sc1 0.500 0.500 0.500
Sr1 0.000 0.000 0.000
Zn1 0.250 0.250 0.250
Sn1 0.750 0.750 0.750

Output
Crystal system: cubic
Space-group type: No. 216
Energy relative to the elements: -0.32 eV per atom

***

First-principles (PBE) data for an optimized crystal structure of V2NiSe4, as listed in the Alexandria database.

a b c (Å): 6.693 6.693 6.181
angles (deg): 64.13 64.13 29.34
Element x y z (fractional)
V1 0.255 0.255 0.687
V2 0.745 0.745 0.313
Ni1 0.000 0.000 0.000
Se1 0.361 0.361 0.978
Se2 0.639 0.639 0.022
Se3 0.104 0.104 0.554
Se4 0.896 0.896 0.446

Output
Crystal system: monoclinic
Formation energy from raw total energies: -4.16 eV/f.u.
Space-group type: No. 12

***

First-principles (PBE) data for an optimized crystal structure of NaHfAg3, as listed in the Alexandria database.

a b c (Å): 5.352 5.352 5.352
angles (deg): 90.00 90.00 90.00
Element x y z (fractional)
Na1 0.500 0.500 0.500
Hf1 0.000 0.000 0.000
Ag1 0.000 0.500 0.000
Ag2 0.000 0.000 0.500
Ag3 0.500 0.000 0.000

Output
Crystal system: cubic
Space-group type: No. 221
Energy relative to the elements: 0.80 eV per atom

***

First-principles (PBE) data for an optimized crystal structure of Pm2PPdO6, as listed in the Alexandria database.

a b c (Å): 4.573 5.381 5.381
angles (deg): 90.00 90.00 90.00
Element x y z (fractional)
Pm1 0.022 0.500 0.000
Pm2 0.022 0.000 0.500
P1 0.623 0.000 0.000
Pd1 0.537 0.500 0.500
O1 0.724 0.211 0.211
O2 0.724 0.211 0.789
O3 0.073 0.500 0.500
O4 0.276 0.000 0.000
O5 0.724 0.789 0.789
O6 0.724 0.789 0.211

Output
Crystal system: tetragonal
Formation energy from raw total energies: -22.16 eV/f.u.
Space-group type: No. 99

***

First-principles (PBE) data for an optimized crystal structure of CdFePt2, as listed in the Alexandria database.

a b c (Å): 9.346 9.346 9.346
angles (deg): 17.36 17.36 17.36
Element x y z (fractional)
Cd1 0.498 0.498 0.498
Fe1 0.746 0.746 0.746
Pt1 0.005 0.005 0.005
Pt2 0.251 0.251 0.251

Output
Crystal system: trigonal
Space-group type: No. 160
Energy relative to the elements: -0.03 eV per atom

***

First-principles (PBE) data for an optimized crystal structure of AlAgBi, as listed in the Alexandria database.

a b c (Å): 3.945 4.548 4.548
angles (deg): 120.00 90.00 90.00
Element x y z (fractional)
Bi1 0.670 0.667 0.333
Ag1 0.158 0.000 0.000
Al1 0.172 0.333 0.667

Output
Crystal system: trigonal
Space-group type: No. 156
Energy relative to the elements: 0.18 eV per atom

***

First-principles (PBE) data for an optimized crystal structure of Rb2HgS, as listed in the Alexandria database.

a b c (Å): 5.798 5.798 5.798
angles (deg): 60.00 60.00 60.00
Element x y z (fractional)
S1 0.000 0.000 0.000
Hg1 0.500 0.500 0.500
Rb1 0.250 0.250 0.250
Rb2 0.750 0.750 0.750

Output
Crystal system: cubic
Formation energy from raw total energies: -2.71 eV/f.u.
Space-group type: No. 225

***

no.,size of the total moment (Bohr magnetons per cell),DFT total energy (eV/atom)
1,0.00,-3.35
2,0.00,-9.25
3,0.00,-4.97
4,0.00,-3.86
5,0.76,-4.91
6,0.00,-3.64
7,0.00,-6.02
8,0.00,-3.17
9,0.36,-7.20
10,3.23,-5.39
11,0.00,-3.31
12,0.00,-2.27